Tb4AlZn3: relaxed, PBE.

Output
The value obtained for the density of states at the Fermi level is 0.90 states/eV/atom. The calculation puts the energy above the most stable polymorph in this dataset at 0.92 kcal/mol of atoms. The value obtained for the total energy is -3.573 eV per atom. The calculation puts the density at 7.5 g/cm³. For the total moment, the calculation gives 0.00 μB per cell.

abc: 3.6350 4.5080 11.5970
angles: 90.00 90.00 90.00
With the nearest neighbours (Å) after each atom.
Space group Pmm2 (No. 25)
Asymmetric unit:
Tb1 0.0000 0.0000 0.0000 (multiplicity 1)  6 Zn 3.05-3.10, 1 Al 3.30
Tb2 0.0000 0.5000 0.3007 (multiplicity 1)  7 Zn 3.05-3.27
Tb3 0.5000 0.0000 0.4925 (multiplicity 1)  5 Zn 3.08-3.19, 2 Al 3.16
Tb4 0.5000 0.5000 0.8063 (multiplicity 1)  4 Al 3.08, 3 Zn 3.17-3.21
Al1 0.0000 0.0000 0.7151 (multiplicity 1)  2 Zn 2.73
Zn1 0.0000 0.5000 0.5828 (multiplicity 1)  2 Al 2.73
Zn2 0.5000 0.0000 0.2171 (multiplicity 1)  2 Zn 2.74, 4 Tb 3.05
Zn3 0.5000 0.5000 0.0827 (multiplicity 1)  2 Zn 2.74, 4 Tb 3.05



Tb2Al3Zn6: relaxed, PBE.

Output
The value obtained for the density of states at the Fermi level is 0.40 states/eV/atom. The value obtained for the total energy is -2.720 eV per atom. The calculation puts the density at 6.2 g/cm³. For the total moment, the calculation gives 0.00 μB per cell.

abc: 10.2016 10.3800 4.0241
angles: 90.00 90.00 90.00
With the nearest neighbours (Å) after each atom.
Space group Cmmm (No. 65)
Asymmetric unit:
Tb1 0.0000 0.2189 0.0000 (multiplicity 4)  8 Zn 3.09-3.26
Al1 0.0000 0.5000 0.5000 (multiplicity 2)  4 Zn 2.52
Al2 0.2035 0.5000 0.0000 (multiplicity 4)  6 Zn 2.58-2.73
Zn1 0.1157 0.0000 0.5000 (multiplicity 4)  3 Zn 2.36-2.55
Zn2 0.1903 0.3455 0.5000 (multiplicity 8)  2 Zn 2.33-2.55, 3 Al 2.52-2.58



TbAl2Zn6: relaxed, PBE.

Output
The value obtained for the density of states at the Fermi level is 0.49 states/eV/atom. The calculation puts the energy above the most stable polymorph in this dataset at 9.61 kcal/mol of atoms. The value obtained for the total energy is -1.854 eV per atom. The calculation puts the density at 5.0 g/cm³. For the total moment, the calculation gives 0.00 μB per cell.

abc: 11.7126 11.7126 11.7126
angles: 90.00 90.00 90.00
With the nearest neighbours (Å) after each atom.
Space group Fd-3m (No. 227, origin choice 2)
Asymmetric unit:
Tb1 0.1250 0.1250 0.1250 (multiplicity 8)  6 Zn 2.92
Al1 0.0000 0.0000 0.5000 (multiplicity 16)  6 Zn 2.54
Zn1 0.1243 0.3750 0.3750 (multiplicity 48)  2 Al 2.54